Entry 1:
Material: LiZrCuAg
Method: DFT, PBE
State: relaxed

The structure in POSCAR format:
```
LiZrCuAg
1.0
4.5947 0.0000 0.0000
2.2973 3.9791 0.0000
2.2973 1.3264 3.7515
Ag Li Zr Cu
1 1 1 1
direct
0.7500 0.7500 0.7500
0.5000 0.5000 0.5000
0.0000 0.0000 0.0000
0.2500 0.2500 0.2500
```

Computed properties:
DFT formation energy (eV/atom): -0.002
Magnetic moment (μB per formula unit): 0.000

=====

Entry 2:
Material: Rb2TlCl3
Method: DFT, PBE
State: relaxed

The structure in POSCAR format:
```
Rb2TlCl3
1.0
7.2062 -0.3691 3.7360
2.7071 7.5155 1.4035
0.3638 -0.1845 8.1160
Cl Rb Tl
6 4 2
direct
0.5814 0.2465 0.3363
0.2539 0.2477 0.0000
0.4186 0.7535 0.6637
0.0822 0.7535 0.3363
0.7461 0.7523 0.0000
0.9178 0.2465 0.6637
0.1672 0.5000 0.6655
0.5000 0.5000 0.0000
0.8328 0.5000 0.3345
0.0000 0.0000 0.0000
0.3335 0.0000 0.3329
0.6665 0.0000 0.6671
```

Computed properties:
Magnetic moment (μB per formula unit): 0.000
Formation energy without anion corrections (eV/atom): -1.636

=====

Entry 3:
Material: Cs2SrLiBr5
Method: DFT, PBE
State: relaxed

The structure in POSCAR format:
```
Cs2SrLiBr5
1.0
-4.4384 -1.1540 -0.7956
4.0149 0.6773 -9.7655
3.7315 -14.7066 0.5141
Br Li Cs Sr
10 2 4 2
direct
0.5000 0.0000 0.2870
0.3170 0.6340 0.3888
0.7037 0.4074 0.1596
0.0486 0.0973 0.0111
0.9514 0.9027 0.5111
0.5000 0.0000 0.7870
0.3423 0.6846 0.0096
0.6830 0.3660 0.8888
0.2963 0.5926 0.6596
0.6577 0.3154 0.5096
0.5570 0.1139 0.9307
0.4430 0.8861 0.4307
0.8713 0.7426 0.8304
0.1089 0.2178 0.6815
0.1287 0.2574 0.3304
0.8911 0.7822 0.1815
0.8026 0.6052 0.5252
0.1974 0.3948 0.0252
```

Computed properties:
Magnetic moment (μB per formula unit): 0.135
Formation energy without anion corrections (eV/atom): -1.856

=====

Entry 4:
Material: CsBe
Method: DFT, PBE
State: relaxed

The structure in POSCAR format:
```
CsBe
1.0
8.3736 0.0000 0.0000
0.0000 8.3736 0.0000
0.0000 0.0000 8.3736
Cs Be
4 4
direct
0.0000 0.0000 0.0000
0.0000 0.5000 0.5000
0.5000 0.5000 0.0000
0.5000 0.0000 0.5000
0.7500 0.2500 0.7500
0.2500 0.2500 0.2500
0.2500 0.7500 0.7500
0.7500 0.7500 0.2500
```

Computed properties:
DFT formation energy (eV/atom): 1.521
Magnetic moment (μB per formula unit): 0.881